(1)
Density functional theory data (GGA-PBE) for an optimized crystal structure of RbAlSn.

Properties
ΔH_f (0 K), kJ/mol of formula units: 33
Symmetry: Pmma (51)

```
RbAlSn
1.0
-7.521 -0.550 -0.071
0.278 -3.055 -5.741
0.269 -3.957 2.119
Rb Al Sn
2 2 2
direct
0.750 0.000 0.677
0.250 0.000 0.323
0.500 0.500 0.500
0.000 0.500 0.500
0.750 0.500 0.061
0.250 0.500 0.939
```

***

(2)
Density functional theory data (GGA-PBE) for an optimized crystal structure of CaGdAg.

Properties
ΔH_f (0 K), kJ/mol of formula units: 8
Distance to the lowest polymorph of the same formula, meV/atom: 181
Symmetry: P3m1 (156)

```
CaGdAg
1.0
3.726 0.000 0.000
0.000 5.175 0.000
0.000 -2.587 4.481
Ca Ag Gd
1 1 1
direct
0.600 0.667 0.333
0.347 0.333 0.667
0.053 0.000 0.000
```

***

(3)
Density functional theory data (GGA-PBE) for an optimized crystal structure of AlCuO2F.

Properties
Uncorrected formation energy, meV/atom: -705
Symmetry: P4/mmm (123)

```
AlCuO2F
1.0
-0.966 -2.848 -2.383
2.682 1.168 -2.483
2.490 -2.221 1.645
O F Cu Al
2 1 1 1
direct
0.500 0.000 0.000
0.000 0.500 0.000
0.000 0.000 0.500
0.000 0.000 0.000
0.500 0.500 0.500
```

***

(4)
Density functional theory data (GGA-PBE) for an optimized crystal structure of InHgOs2.

Properties
ΔH_f (0 K), kJ/mol of formula units: 376
Distance to the lowest polymorph of the same formula, meV/atom: 635
Symmetry: F-43m (216)

```
InHgOs2
1.0
-0.564 1.679 -4.267
-3.685 -1.233 -2.499
-3.346 3.070 -0.851
Os In Hg
2 1 1
direct
0.750 0.750 0.750
0.000 0.000 0.000
0.250 0.250 0.250
0.500 0.500 0.500
```

***

(5)
Density functional theory data (GGA-PBE) for an optimized crystal structure of KCrPt3.

Properties
ΔH_f (0 K), kJ/mol of formula units: 262
Distance to the lowest polymorph of the same formula, meV/atom: 0
Symmetry: Pm-3m (221)

```
KCrPt3
1.0
-0.708 1.600 4.390
4.382 -1.312 1.185
1.620 4.249 -1.287
Pt K Cr
3 1 1
direct
0.500 0.000 0.000
0.000 0.500 0.000
0.000 0.000 0.500
0.500 0.500 0.500
0.000 0.000 0.000
```

***

(6)
Density functional theory data (GGA-PBE) for an optimized crystal structure of LaMgV2Ni.

Properties
ΔH_f (0 K), kJ/mol of formula units: 706
Symmetry: P4/mmm (123)

```
LaMgV2Ni
1.0
-2.717 3.619 1.469
-2.931 -0.734 -3.613
-2.547 -2.999 2.675
Ni La V Mg
1 1 2 1
direct
0.000 0.500 0.000
0.000 0.000 0.000
0.000 0.000 0.500
0.500 0.000 0.000
0.500 0.500 0.500
```

***

(7)
Density functional theory data (GGA-PBE) for an optimized crystal structure of Pm8Ir3PdBr4.

Properties
Uncorrected formation energy, meV/atom: -1095
Symmetry: C2/m (12)

```
Pm8Ir3PdBr4
1.0
-4.802 -4.723 -4.866
-4.574 -2.898 7.327
0.373 8.206 -1.239
Pm Pd Br Ir
8 1 4 3
direct
0.764 0.304 0.527
0.236 0.696 0.473
0.237 0.696 0.960
0.763 0.304 0.040
0.277 0.304 0.040
0.268 0.305 0.536
0.732 0.695 0.464
0.723 0.696 0.960
0.000 0.500 0.000
0.000 0.000 0.000
0.500 0.000 0.000
0.000 0.000 0.500
0.500 0.000 0.500
0.000 0.500 0.500
0.500 0.500 0.500
0.500 0.500 0.000
```

***

(8)
Density functional theory data (GGA-PBE) for an optimized crystal structure of MgAl6Zn12.

Properties
ΔH_f (0 K), kJ/mol of formula units: 18
Distance to the lowest polymorph of the same formula, meV/atom: 0
Symmetry: R-3 (148)

```
MgAl6Zn12
1.0
-1.615 5.020 -4.217
-5.209 -0.124 5.450
0.030 6.394 3.996
Al Zn Mg
6 12 1
direct
0.427 0.482 0.207
0.634 0.207 0.311
0.945 0.311 0.482
0.366 0.793 0.689
0.573 0.518 0.793
0.055 0.689 0.518
0.895 0.629 0.945
0.734 0.574 0.371
0.522 0.841 0.266
0.160 0.055 0.574
0.319 0.107 0.159
0.266 0.426 0.629
0.681 0.893 0.841
0.212 0.734 0.107
0.788 0.266 0.893
0.478 0.159 0.734
0.840 0.945 0.426
0.105 0.371 0.055
0.000 0.000 0.000
```

***

(9)
Density functional theory data (GGA-PBE) for an optimized crystal structure of InCuHg2F.

Properties
Uncorrected formation energy, meV/atom: -391
Symmetry: P4/mmm (123)

```
InCuHg2F
1.0
-1.598 -1.947 -4.853
3.534 -1.296 -0.644
-1.319 -4.760 2.344
F Cu Hg In
1 1 2 1
direct
0.000 0.500 0.000
0.000 0.000 0.000
0.000 0.000 0.500
0.500 0.000 0.000
0.500 0.500 0.500
```

***

(10)
Density functional theory data (GGA-PBE) for an optimized crystal structure of Na2B2PdPt5.

Properties
ΔH_f (0 K), kJ/mol of formula units: -310
Symmetry: P4/mbm (127)

```
Na2B2PdPt5
1.0
2.823 0.000 0.000
0.000 10.219 0.000
0.000 0.000 10.219
B Pt Na Pd
4 10 4 2
direct
0.000 0.875 0.375
0.000 0.625 0.875
0.000 0.375 0.125
0.000 0.125 0.625
0.500 0.228 0.061
0.500 0.561 0.728
0.500 0.061 0.772
0.500 0.000 0.500
0.500 0.500 0.000
0.500 0.939 0.228
0.500 0.272 0.561
0.500 0.439 0.272
0.500 0.772 0.939
0.500 0.728 0.439
0.000 0.817 0.683
0.000 0.683 0.183
0.000 0.317 0.817
0.000 0.183 0.317
0.000 0.000 0.000
0.000 0.500 0.500
```

***

(11)
Density functional theory data (GGA-PBE) for an optimized crystal structure of Mg2VBPt.

Properties
ΔH_f (0 K), kJ/mol of formula units: 41
Symmetry: P4/mmm (123)

```
Mg2VBPt
1.0
-1.578 1.076 -3.874
-2.553 -3.203 0.150
-2.988 2.471 1.904
Mg Pt V B
2 1 1 1
direct
0.000 0.000 0.500
0.500 0.000 0.000
0.500 0.500 0.500
0.000 0.500 0.000
0.000 0.000 0.000
```

***

(12)
Density functional theory data (GGA-PBE) for an optimized crystal structure of LaCr2Co.

Properties
ΔH_f (0 K), kJ/mol of formula units: 146
Distance to the lowest polymorph of the same formula, meV/atom: 73
Symmetry: P4mm (99)

```
LaCr2Co
1.0
-1.259 2.397 1.330
-2.096 -1.785 1.233
4.303 -0.996 5.870
Co Cr La
1 2 1
direct
0.500 0.500 0.822
0.500 0.500 0.169
0.000 0.000 0.995
0.000 0.000 0.514
```